1.
The following is a PBE-GGA calculation of a relaxed structure of Re2SbW, from Alexandria via LeMat-Bulk.

```
Re2SbW
1.0
5.343 -0.002 0.002
2.524 4.709 -0.002
-3.491 -3.093 2.606
Re Sb W
2 1 1
Direct
0.001 0.001 0.000
0.742 0.242 0.500
0.502 0.502 0.000
0.256 0.756 0.500
```

Computed properties:
Formation energy from raw total energies = 510 meV/atom
SG = No. 44
Spin magnetization = 0.00 μB per formula unit
Calculated total energy = -9.983 eV per atom
N(E_F) = 2.18 states/eV per cell

2.
The following is a PBE-GGA calculation of a relaxed structure of Re2SbW, from Alexandria via LeMat-Bulk.

```
Re2SbW
1.0
5.134 0.008 0.000
2.163 4.656 0.000
-3.648 -2.332 2.758
Re Sb W
2 1 1
Direct
0.000 0.000 0.000
0.250 0.750 0.500
0.500 0.500 0.000
0.750 0.250 0.500
```

Computed properties:
Formation energy from raw total energies = 591 meV/atom
SG = No. 119
Spin magnetization = 0.00 μB per formula unit
Calculated total energy = -9.902 eV per atom
N(E_F) = 3.71 states/eV per cell

3.
The following is a PBE-GGA calculation of a relaxed structure of Re2SbW, from Alexandria via LeMat-Bulk.

```
Re2SbW
1.0
4.160 0.000 0.000
0.000 2.984 0.005
0.000 2.962 5.384
Re Sb W
2 1 1
Direct
0.000 0.000 0.000
0.500 0.262 0.237
0.000 0.504 0.496
0.500 0.734 0.767
```

Computed properties:
Formation energy from raw total energies = 502 meV/atom
SG = No. 6
Spin magnetization = 0.00 μB per formula unit
Calculated total energy = -9.991 eV per atom
N(E_F) = 2.90 states/eV per cell

4.
The following is a PBE-GGA calculation of a relaxed structure of ReSbW2, from Alexandria via LeMat-Bulk.

```
ReSbW2
1.0
-0.534 -0.744 -2.701
2.770 -0.304 0.611
-1.564 -8.779 2.728
Re Sb W
1 1 2
Direct
0.000 0.000 0.474
0.500 0.500 0.753
0.000 0.000 0.020
0.500 0.500 0.253
```

Computed properties:
Formation energy from raw total energies = 625 meV/atom
SG = No. 35
Spin magnetization = 0.00 μB per formula unit
Calculated total energy = -9.994 eV per atom
N(E_F) = 3.49 states/eV per cell